No. 1
# PBE MnCoSb, optimized geometry
# Formation energy from raw total energies in meV per atom: 48
# Total magnetization in μB per formula unit: 4.05
data_MnCoSb
_chemical_formula_sum 'Mn4 Co4 Sb4'
_cell_length_a 3.986
_cell_length_b 11.725
_cell_length_c 3.996
_cell_angle_alpha 90.00
_cell_angle_beta 90.00
_cell_angle_gamma 90.00
_symmetry_space_group_name_H-M 'C m c m'
_symmetry_Int_Tables_number 63
_symmetry_space_group_name_Hall '-C 2c 2'
loop_
_atom_site_label
_atom_site_fract_x
_atom_site_fract_y
_atom_site_fract_z
_atom_site_occupancy
Mn1 0.000 0.095 0.250 1
Co1 0.000 0.253 0.750 1
Sb1 0.000 0.386 0.250 1


No. 2
# PBE SbAu4N2, optimized geometry
# Formation energy from raw total energies in meV per atom: 703
# Total magnetization in μB per formula unit: 0.00
data_SbAu4N2
_chemical_formula_sum 'Sb2 Au8 N4'
_cell_length_a 5.772
_cell_length_b 5.772
_cell_length_c 10.293
_cell_angle_alpha 90.00
_cell_angle_beta 90.00
_cell_angle_gamma 90.00
_symmetry_space_group_name_H-M 'I 4/m m m'
_symmetry_Int_Tables_number 139
_symmetry_space_group_name_Hall '-I 4 2'
loop_
_atom_site_label
_atom_site_fract_x
_atom_site_fract_y
_atom_site_fract_z
_atom_site_occupancy
Sb1 0.000 0.000 0.000 1
Au1 0.000 0.000 0.247 1
Au2 0.000 0.500 0.000 1
N1 0.000 0.000 0.445 1


No. 3
# PBE Np3UTl4Te8, optimized geometry
# Formation energy from raw total energies in meV per atom: -555
# Total magnetization in μB per formula unit: 15.00
data_Np3UTl4Te8
_chemical_formula_sum 'Np9 U3 Tl12 Te24'
_cell_length_a 8.9208
_cell_length_b 8.9208
_cell_length_c 24.7148
_cell_angle_alpha 90.00
_cell_angle_beta 90.00
_cell_angle_gamma 120.00
_symmetry_space_group_name_H-M 'R -3 m'
_symmetry_Int_Tables_number 166
_symmetry_space_group_name_Hall '-R 3 2"'
loop_
_atom_site_label
_atom_site_fract_x
_atom_site_fract_y
_atom_site_fract_z
_atom_site_occupancy
Np1 0.0000 0.5000 0.0000 1
U1 0.0000 0.0000 0.0000 1
Tl1 0.0000 0.0000 0.5000 1
Tl2 0.0000 0.5000 0.5000 1
Te1 0.0000 0.0000 0.2618 1
Te2 0.0022 0.5011 0.7383 1


No. 4
# PBE AlTlH2W, optimized geometry
# Total DFT energy (no corrections) in eV per atom: -3.990
# Total magnetization in μB per formula unit: 1.78
data_AlTlH2W
_chemical_formula_sum 'Al1 Tl1 H2 W1'
_cell_length_a 3.682
_cell_length_b 3.682
_cell_length_c 6.523
_cell_angle_alpha 90.00
_cell_angle_beta 90.00
_cell_angle_gamma 90.00
_symmetry_space_group_name_H-M 'P 4/m m m'
_symmetry_Int_Tables_number 123
_symmetry_space_group_name_Hall '-P 4 2'
loop_
_atom_site_label
_atom_site_fract_x
_atom_site_fract_y
_atom_site_fract_z
_atom_site_occupancy
Al1 0.000 0.000 0.000 1
Tl1 0.000 0.000 0.500 1
H1 0.000 0.500 0.500 1
W1 0.500 0.500 0.000 1


No. 5
# PBE EuZnHg, optimized geometry
# Energy of formation in meV per atom: -222
# Total magnetization in μB per formula unit: 7.41
data_EuZnHg
_chemical_formula_sum 'Eu4 Zn4 Hg4'
_cell_length_a 6.922
_cell_length_b 6.922
_cell_length_c 6.922
_cell_angle_alpha 90.00
_cell_angle_beta 90.00
_cell_angle_gamma 90.00
_symmetry_space_group_name_H-M 'F -4 3 m'
_symmetry_Int_Tables_number 216
_symmetry_space_group_name_Hall 'F -4 2 3'
loop_
_atom_site_label
_atom_site_fract_x
_atom_site_fract_y
_atom_site_fract_z
_atom_site_occupancy
Eu1 0.000 0.000 0.000 1
Zn1 0.250 0.250 0.250 1
Hg1 0.000 0.000 0.500 1


No. 6
# PBE Cd2PdAu2, optimized geometry
# Energy of formation in meV per atom: 121
# Total magnetization in μB per formula unit: 0.00
data_Cd2PdAu2
_chemical_formula_sum 'Cd4 Pd2 Au4'
_cell_length_a 3.949
_cell_length_b 3.949
_cell_length_c 13.314
_cell_angle_alpha 90.00
_cell_angle_beta 90.00
_cell_angle_gamma 90.00
_symmetry_space_group_name_H-M 'I 4/m m m'
_symmetry_Int_Tables_number 139
_symmetry_space_group_name_Hall '-I 4 2'
loop_
_atom_site_label
_atom_site_fract_x
_atom_site_fract_y
_atom_site_fract_z
_atom_site_occupancy
Cd1 0.000 0.500 0.250 1
Pd1 0.000 0.000 0.000 1
Au1 0.000 0.000 0.402 1


No. 7
# PBE PmTl2InBr6, optimized geometry
# Formation energy from raw total energies in meV per atom: -1238
# Total magnetization in μB per formula unit: 0.00
data_PmTl2InBr6
_chemical_formula_sum 'Pm3 Tl6 In3 Br18'
_cell_length_a 8.1908
_cell_length_b 8.1908
_cell_length_c 21.1904
_cell_angle_alpha 90.00
_cell_angle_beta 90.00
_cell_angle_gamma 120.00
_symmetry_space_group_name_H-M 'R 3'
_symmetry_Int_Tables_number 146
_symmetry_space_group_name_Hall 'R 3'
loop_
_atom_site_label
_atom_site_fract_x
_atom_site_fract_y
_atom_site_fract_z
_atom_site_occupancy
Pm1 0.0000 0.0000 0.0000 1
Tl1 0.0000 0.0000 0.3037 1
Tl2 0.0000 0.0000 0.7950 1
In1 0.0000 0.0000 0.5085 1
Br1 0.0140 0.3966 0.7386 1
Br2 0.0679 0.6895 0.5804 1


No. 8
# PBE Zr2HgRu2, optimized geometry
# Energy of formation in meV per atom: -292
# Total magnetization in μB per formula unit: 0.00
data_Zr2HgRu2
_chemical_formula_sum 'Zr4 Hg2 Ru4'
_cell_length_a 7.600
_cell_length_b 7.600
_cell_length_c 3.269
_cell_angle_alpha 90.00
_cell_angle_beta 90.00
_cell_angle_gamma 90.00
_symmetry_space_group_name_H-M 'P 4/m b m'
_symmetry_Int_Tables_number 127
_symmetry_space_group_name_Hall '-P 4 2ab'
loop_
_atom_site_label
_atom_site_fract_x
_atom_site_fract_y
_atom_site_fract_z
_atom_site_occupancy
Zr1 0.157 0.343 0.000 1
Hg1 0.000 0.000 0.500 1
Ru1 0.140 0.640 0.500 1


No. 9
# PBE OsRu2Au, optimized geometry
# Energy of formation in meV per atom: 237
# Total magnetization in μB per formula unit: 0.00
data_OsRu2Au
_chemical_formula_sum 'Os3 Ru6 Au3'
_cell_length_a 2.7551
_cell_length_b 2.7551
_cell_length_c 27.5104
_cell_angle_alpha 90.00
_cell_angle_beta 90.00
_cell_angle_gamma 120.00
_symmetry_space_group_name_H-M 'R -3 m'
_symmetry_Int_Tables_number 166
_symmetry_space_group_name_Hall '-R 3 2"'
loop_
_atom_site_label
_atom_site_fract_x
_atom_site_fract_y
_atom_site_fract_z
_atom_site_occupancy
Os1 0.0000 0.0000 0.0000 1
Ru1 0.0000 0.0000 0.2560 1
Au1 0.0000 0.0000 0.5000 1


No. 10
# PBE Pm3Ho5Mg2, optimized geometry
# Energy of formation in meV per atom: 281
# Total magnetization in μB per formula unit: 0.00
data_Pm3Ho5Mg2
_chemical_formula_sum 'Pm12 Ho20 Mg8'
_cell_length_a 12.822
_cell_length_b 15.903
_cell_length_c 6.353
_cell_angle_alpha 90.00
_cell_angle_beta 90.00
_cell_angle_gamma 90.00
_symmetry_space_group_name_H-M 'I b a m'
_symmetry_Int_Tables_number 72
_symmetry_space_group_name_Hall '-I 2 2c'
loop_
_atom_site_label
_atom_site_fract_x
_atom_site_fract_y
_atom_site_fract_z
_atom_site_occupancy
Pm1 0.000 0.000 0.250 1
Pm2 0.101 0.262 0.000 1
Ho1 0.000 0.500 0.250 1
Ho2 0.149 0.340 0.500 1
Ho3 0.249 0.500 0.250 1
Mg1 0.140 0.151 0.500 1


No. 11
# PBE TbPmSe2, optimized geometry
# Formation energy from raw total energies in meV per atom: -1806
# Total magnetization in μB per formula unit: 0.00
data_TbPmSe2
_chemical_formula_sum 'Tb2 Pm2 Se4'
_cell_length_a 4.0813
_cell_length_b 4.0813
_cell_length_c 14.0227
_cell_angle_alpha 90.00
_cell_angle_beta 90.00
_cell_angle_gamma 120.00
_symmetry_space_group_name_H-M 'P 63/m m c'
_symmetry_Int_Tables_number 194
_symmetry_space_group_name_Hall '-P 6c 2c'
loop_
_atom_site_label
_atom_site_fract_x
_atom_site_fract_y
_atom_site_fract_z
_atom_site_occupancy
Tb1 0.0000 0.0000 0.0000 1
Pm1 0.3333 0.6667 0.2500 1
Se1 0.3333 0.6667 0.6191 1


No. 12
# PBE Mn2IrPb, optimized geometry
# Energy of formation in meV per atom: 307
# Total magnetization in μB per formula unit: 7.51
data_Mn2IrPb
_chemical_formula_sum 'Mn4 Ir2 Pb2'
_cell_length_a 4.012
_cell_length_b 4.012
_cell_length_c 8.246
_cell_angle_alpha 90.00
_cell_angle_beta 90.00
_cell_angle_gamma 90.00
_symmetry_space_group_name_H-M 'I -4 m 2'
_symmetry_Int_Tables_number 119
_symmetry_space_group_name_Hall 'I -4 -2'
loop_
_atom_site_label
_atom_site_fract_x
_atom_site_fract_y
_atom_site_fract_z
_atom_site_occupancy
Mn1 0.000 0.000 0.000 1
Mn2 0.000 0.500 0.250 1
Ir1 0.000 0.000 0.500 1
Pb1 0.000 0.500 0.750 1


No. 13
# PBE CoHPdRu2, optimized geometry
# Total DFT energy (no corrections) in eV per atom: -6.627
# Total magnetization in μB per formula unit: 1.97
data_CoHPdRu2
_chemical_formula_sum 'Co1 H1 Pd1 Ru2'
_cell_length_a 3.841
_cell_length_b 3.841
_cell_length_c 3.831
_cell_angle_alpha 90.00
_cell_angle_beta 90.00
_cell_angle_gamma 90.00
_symmetry_space_group_name_H-M 'P 4/m m m'
_symmetry_Int_Tables_number 123
_symmetry_space_group_name_Hall '-P 4 2'
loop_
_atom_site_label
_atom_site_fract_x
_atom_site_fract_y
_atom_site_fract_z
_atom_site_occupancy
Co1 0.000 0.000 0.000 1
H1 0.000 0.000 0.500 1
Pd1 0.500 0.500 0.000 1
Ru1 0.000 0.500 0.500 1


No. 14
# PBE Al2ReSiRu, optimized geometry
# Formation energy from raw total energies in meV per atom: 1079
# Total magnetization in μB per formula unit: 0.00
data_Al2ReSiRu
_chemical_formula_sum 'Al2 Re1 Si1 Ru1'
_cell_length_a 4.770
_cell_length_b 4.770
_cell_length_c 4.655
_cell_angle_alpha 90.00
_cell_angle_beta 90.00
_cell_angle_gamma 90.00
_symmetry_space_group_name_H-M 'P 4/m m m'
_symmetry_Int_Tables_number 123
_symmetry_space_group_name_Hall '-P 4 2'
loop_
_atom_site_label
_atom_site_fract_x
_atom_site_fract_y
_atom_site_fract_z
_atom_site_occupancy
Al1 0.000 0.500 0.000 1
Re1 0.000 0.000 0.000 1
Si1 0.500 0.500 0.500 1
Ru1 0.000 0.000 0.500 1


No. 15
# PBE CeDyPa, optimized geometry
# Energy of formation in meV per atom: 123
# Total magnetization in μB per formula unit: 0.01
data_CeDyPa
_chemical_formula_sum 'Ce2 Dy2 Pa2'
_cell_length_a 3.277
_cell_length_b 3.277
_cell_length_c 15.447
_cell_angle_alpha 90.00
_cell_angle_beta 90.00
_cell_angle_gamma 90.00
_symmetry_space_group_name_H-M 'I 4 m m'
_symmetry_Int_Tables_number 107
_symmetry_space_group_name_Hall 'I 4 -2'
loop_
_atom_site_label
_atom_site_fract_x
_atom_site_fract_y
_atom_site_fract_z
_atom_site_occupancy
Ce1 0.000 0.000 0.000 1
Dy1 0.000 0.000 0.314 1
Pa1 0.000 0.000 0.654 1


No. 16
# PBE BeOs2, optimized geometry
# Energy of formation in meV per atom: 70
# Total magnetization in μB per formula unit: 0.00
data_BeOs2
_chemical_formula_sum 'Be2 Os4'
_cell_length_a 2.751
_cell_length_b 3.639
_cell_length_c 7.671
_cell_angle_alpha 90.00
_cell_angle_beta 90.00
_cell_angle_gamma 90.00
_symmetry_space_group_name_H-M 'I m m m'
_symmetry_Int_Tables_number 71
_symmetry_space_group_name_Hall '-I 2 2'
loop_
_atom_site_label
_atom_site_fract_x
_atom_site_fract_y
_atom_site_fract_z
_atom_site_occupancy
Be1 0.000 0.000 0.000 1
Os1 0.000 0.000 0.335 1


No. 17
# PBE TbPmFe, optimized geometry
# Energy of formation in meV per atom: 120
# Total magnetization in μB per formula unit: 0.96
data_TbPmFe
_chemical_formula_sum 'Tb2 Pm2 Fe2'
_cell_length_a 3.430
_cell_length_b 3.430
_cell_length_c 12.952
_cell_angle_alpha 90.00
_cell_angle_beta 90.00
_cell_angle_gamma 90.00
_symmetry_space_group_name_H-M 'I 4 m m'
_symmetry_Int_Tables_number 107
_symmetry_space_group_name_Hall 'I 4 -2'
loop_
_atom_site_label
_atom_site_fract_x
_atom_site_fract_y
_atom_site_fract_z
_atom_site_occupancy
Tb1 0.000 0.000 0.000 1
Pm1 0.000 0.000 0.254 1
Fe1 0.000 0.000 0.623 1


No. 18
# PBE Pm2Cl3, optimized geometry
# Formation energy from raw total energies in meV per atom: -1595
# Total magnetization in μB per formula unit: 1.21
data_Pm2Cl3
_chemical_formula_sum 'Pm12 Cl18'
_cell_length_a 6.4288
_cell_length_b 6.4288
_cell_length_c 22.9079
_cell_angle_alpha 90.00
_cell_angle_beta 90.00
_cell_angle_gamma 120.00
_symmetry_space_group_name_H-M 'R -3 c'
_symmetry_Int_Tables_number 167
_symmetry_space_group_name_Hall '-R 3 2"c'
loop_
_atom_site_label
_atom_site_fract_x
_atom_site_fract_y
_atom_site_fract_z
_atom_site_occupancy
Pm1 0.0000 0.0000 0.1674 1
Cl1 0.0000 0.3319 0.2500 1


No. 19
# PBE CeTlHgI6, optimized geometry
# Formation energy from raw total energies in meV per atom: -765
# Total magnetization in μB per formula unit: 0.70
data_CeTlHgI6
_chemical_formula_sum 'Ce2 Tl2 Hg2 I12'
_cell_length_a 8.107
_cell_length_b 14.034
_cell_length_c 7.141
_cell_angle_alpha 90.00
_cell_angle_beta 90.05
_cell_angle_gamma 90.00
_symmetry_space_group_name_H-M 'C 1 2 1'
_symmetry_Int_Tables_number 5
_symmetry_space_group_name_Hall 'C 2y'
loop_
_atom_site_label
_atom_site_fract_x
_atom_site_fract_y
_atom_site_fract_z
_atom_site_occupancy
Ce1 0.000 0.000 0.000 1
Tl1 0.000 0.667 0.000 1
Hg1 0.000 0.333 0.500 1
I1 0.140 0.159 0.746 1
I2 0.168 0.851 0.746 1
I3 0.192 0.491 0.746 1


No. 20
# PBE GaSb2TeCl, optimized geometry
# Formation energy from raw total energies in meV per atom: 657
# Total magnetization in μB per formula unit: 0.00
data_GaSb2TeCl
_chemical_formula_sum 'Ga1 Sb2 Te1 Cl1'
_cell_length_a 5.312
_cell_length_b 5.312
_cell_length_c 5.744
_cell_angle_alpha 90.00
_cell_angle_beta 90.00
_cell_angle_gamma 90.00
_symmetry_space_group_name_H-M 'P 4/m m m'
_symmetry_Int_Tables_number 123
_symmetry_space_group_name_Hall '-P 4 2'
loop_
_atom_site_label
_atom_site_fract_x
_atom_site_fract_y
_atom_site_fract_z
_atom_site_occupancy
Ga1 0.000 0.000 0.000 1
Sb1 0.000 0.500 0.500 1
Te1 0.500 0.500 0.000 1
Cl1 0.500 0.500 0.500 1